<i>
GGA-PBE Hf2Be2Zn, relaxed; D(E_F) = 3.4 states/eV/f.u.
1.0
4.163 0.000 0.000
0.000 4.163 0.000
2.081 2.081 4.986
Hf Be Zn
2 2 1
Cartesian
2.081 4.163 2.493 Hf
4.163 2.081 2.493 Hf
2.081 2.081 0.971 Be
4.163 4.163 4.016 Be
0.000 0.000 0.000 Zn

---

<ii>
GGA-PBE Hf2Be2Zn, relaxed; D(E_F) = 4.1 states/eV/f.u.
1.0
3.391 0.000 0.000
1.695 4.932 0.261
1.695 1.877 4.568
Be Zn Hf
2 1 2
Cartesian
3.391 2.786 3.286 Be
3.391 4.023 1.542 Be
0.000 0.000 0.000 Zn
5.086 4.872 3.455 Hf
1.695 1.937 1.373 Hf

---

So which one is most stable? That would be <ii>, about 64.0 kJ/mol of atoms below the next structure.